No. 1
The following is a GGA-PBEsol calculation of a geometry-optimized Hf9Re4S structure, from Alexandria via LeMat-Bulk.

POSCAR file:
```
Hf9Re4S
1.0
-0.380 -5.027 6.775
-1.523 -6.655 -5.024
7.975 2.073 1.986
S Re Hf
2 8 18
Direct
0.750 0.333 0.667
0.250 0.667 0.333
0.750 0.890 0.779
0.500 0.000 0.000
0.000 0.000 0.000
0.250 0.779 0.890
0.250 0.110 0.890
0.250 0.110 0.221
0.750 0.221 0.110
0.750 0.890 0.110
0.447 0.805 0.195
0.947 0.609 0.805
0.750 0.543 0.457
0.053 0.805 0.609
0.553 0.609 0.805
0.053 0.391 0.195
0.447 0.805 0.609
0.553 0.195 0.805
0.053 0.805 0.195
0.447 0.391 0.195
0.750 0.543 0.087
0.250 0.087 0.543
0.947 0.195 0.391
0.250 0.457 0.913
0.750 0.913 0.457
0.553 0.195 0.391
0.947 0.195 0.805
0.250 0.457 0.543
```

Results
Formation energy without anion corrections in eV per atom: -0.46

No. 2
The following is a GGA-PBEsol calculation of a geometry-optimized YTcTe2 structure, from Alexandria via LeMat-Bulk.

POSCAR file:
```
YTcTe2
1.0
-3.010 2.171 -0.762
-1.868 -1.552 2.961
4.709 4.163 2.677
Te Tc Y
2 1 1
Direct
0.944 0.944 0.887
0.723 0.223 0.445
0.292 0.792 0.584
0.542 0.542 0.083
```

Results
Formation energy without anion corrections in eV per atom: -0.42

No. 3
The following is a GGA-PBEsol calculation of a geometry-optimized CrGe3P structure, from Alexandria via LeMat-Bulk.

POSCAR file:
```
CrGe3P
1.0
-3.246 0.441 3.241
-3.269 -0.302 -3.233
-0.097 -4.577 0.525
Cr Ge P
1 3 1
Direct
0.000 0.000 0.000
0.000 0.500 0.000
0.500 0.000 0.000
0.000 0.000 0.500
0.500 0.500 0.500
```

Results
Formation enthalpy at 0 K in eV per formula unit: 2.996

No. 4
The following is a GGA-PBEsol calculation of a geometry-optimized CrCo2 structure, from Alexandria via LeMat-Bulk.

POSCAR file:
```
CrCo2
1.0
-1.690 1.714 -0.426
-0.578 -1.209 4.444
4.094 4.088 0.206
Cr Co
2 4
Direct
0.051 0.103 0.607
0.725 0.450 0.949
0.389 0.778 0.276
0.003 0.005 0.000
0.668 0.336 0.335
0.330 0.661 0.667
```

Results
Formation enthalpy at 0 K in eV per formula unit: 0.153

No. 5
The following is a GGA-PBEsol calculation of a geometry-optimized La2SiS structure, from Alexandria via LeMat-Bulk.

POSCAR file:
```
La2SiS
1.0
-2.772 -1.882 5.375
4.875 -3.875 1.157
2.217 8.033 0.224
Si S La
2 2 4
Direct
0.500 0.500 0.000
0.750 0.250 0.500
0.000 0.000 0.000
0.250 0.750 0.500
0.884 0.375 0.250
0.366 0.875 0.250
0.625 0.634 0.750
0.125 0.116 0.750
```

Results
Formation energy without anion corrections in eV per atom: -0.86

No. 6
The following is a GGA-PBEsol calculation of a geometry-optimized Re2SiPb structure, from Alexandria via LeMat-Bulk.

POSCAR file:
```
Re2SiPb
1.0
-2.400 0.703 -1.708
-1.276 -2.826 3.314
-0.438 4.915 2.640
Re Pb Si
2 1 1
Direct
0.253 0.507 0.711
0.981 0.962 0.943
0.744 0.487 0.236
0.522 0.043 0.610
```

Results
Formation energy without anion corrections in eV per atom: 0.55

No. 7
The following is a GGA-PBEsol calculation of a geometry-optimized ZnRe2Au structure, from Alexandria via LeMat-Bulk.

POSCAR file:
```
ZnRe2Au
1.0
-0.635 2.717 -0.297
-2.058 -0.125 3.255
4.564 1.307 2.935
Zn Re Au
1 2 1
Direct
0.997 0.000 0.507
0.026 0.000 0.035
0.475 0.500 0.229
0.501 0.500 0.730
```

Results
Formation enthalpy at 0 K in eV per formula unit: 0.802

No. 8
The following is a GGA-PBEsol calculation of a geometry-optimized FeCoNi2 structure, from Alexandria via LeMat-Bulk.

POSCAR file:
```
FeCoNi2
1.0
2.448 0.000 0.000
0.000 3.472 0.000
0.000 0.000 4.969
Fe Ni Co
1 2 1
Direct
0.500 0.500 0.752
0.500 0.500 0.253
0.000 0.000 0.001
0.000 0.000 0.493
```

Results
Formation enthalpy at 0 K in eV per formula unit: -0.032

No. 9
The following is a GGA-PBEsol calculation of a geometry-optimized TaMnP2 structure, from Alexandria via LeMat-Bulk.

POSCAR file:
```
TaMnP2
1.0
-1.254 2.545 1.447
-1.306 -1.928 2.258
5.626 0.171 1.071
Mn P Ta
1 2 1
Direct
0.287 0.787 0.575
0.722 0.222 0.444
0.948 0.948 0.895
0.543 0.543 0.086
```

Results
Formation enthalpy at 0 K in eV per formula unit: -2.703

No. 10
The following is a GGA-PBEsol calculation of a geometry-optimized Ta2SiCl structure, from Alexandria via LeMat-Bulk.

POSCAR file:
```
Ta2SiCl
1.0
5.628 -0.098 0.000
-2.294 5.140 0.000
-1.667 -2.521 4.748
Si Cl Ta
2 2 4
Direct
0.500 0.500 0.000
0.750 0.250 0.500
0.000 0.000 0.000
0.250 0.750 0.500
0.625 0.093 0.968
0.125 0.657 0.032
0.907 0.875 0.532
0.343 0.375 0.468
```

Results
Formation energy without anion corrections in eV per atom: 0.51

No. 11
The following is a GGA-PBEsol calculation of a geometry-optimized RbH3O2 structure, from Alexandria via LeMat-Bulk.

POSCAR file:
```
RbH3O2
1.0
-3.061 2.136 1.876
-2.943 0.198 -5.026
-0.996 -5.823 0.354
H O Rb
6 4 2
Direct
0.306 0.301 0.211
0.906 0.301 0.211
0.490 0.014 0.980
0.510 0.514 0.020
0.694 0.801 0.789
0.094 0.801 0.789
0.159 0.267 0.319
0.469 0.849 0.939
0.841 0.767 0.681
0.531 0.349 0.061
0.843 0.274 0.686
0.157 0.774 0.314
```

No. 12
The following is a GGA-PBEsol calculation of a geometry-optimized InReAg2 structure, from Alexandria via LeMat-Bulk.

POSCAR file:
```
InReAg2
1.0
3.986 0.000 0.000
0.000 3.986 0.000
-1.993 -1.993 4.266
In Re Ag
1 1 2
Direct
0.500 0.500 0.000
0.000 0.000 0.000
0.750 0.250 0.500
0.250 0.750 0.500
```

Results
Formation enthalpy at 0 K in eV per formula unit: 2.773

No. 13
The following is a GGA-PBEsol calculation of a geometry-optimized Mg2ZrCd structure, from Alexandria via LeMat-Bulk.

POSCAR file:
```
Mg2ZrCd
1.0
3.019 0.000 0.004
0.000 4.780 0.000
-1.056 0.000 5.842
Zr Mg Cd
1 2 1
Direct
0.500 0.500 0.000
0.846 0.000 0.749
0.154 0.000 0.251
0.000 0.500 0.500
```

Results
Formation enthalpy at 0 K in eV per formula unit: -0.051

No. 14
The following is a GGA-PBEsol calculation of a geometry-optimized CuSiCl2 structure, from Alexandria via LeMat-Bulk.

POSCAR file:
```
CuSiCl2
1.0
5.682 0.394 -0.611
-2.007 5.331 0.611
2.007 2.754 4.605
Cu Cl Si
2 4 2
Direct
0.000 0.000 0.000
0.500 0.250 0.250
0.458 0.125 0.917
0.042 0.917 0.625
0.958 0.333 0.125
0.542 0.625 0.333
0.500 0.750 0.750
0.000 0.500 0.500
```

Results
Formation energy without anion corrections in eV per atom: 0.14

No. 15
The following is a GGA-PBEsol calculation of a geometry-optimized TaFeS2 structure, from Alexandria via LeMat-Bulk.

POSCAR file:
```
TaFeS2
1.0
-4.023 -1.188 -0.017
-1.781 -1.322 -3.560
-0.990 -4.049 -0.472
S Fe Ta
2 1 1
Direct
0.250 0.250 0.250
0.750 0.750 0.750
0.000 0.000 0.000
0.500 0.500 0.500
```

Results
Formation energy without anion corrections in eV per atom: -0.34

No. 16
The following is a GGA-PBEsol calculation of a geometry-optimized TcAs2Pt structure, from Alexandria via LeMat-Bulk.

POSCAR file:
```
TcAs2Pt
1.0
5.488 0.000 0.000
0.000 5.488 0.000
-2.744 -2.744 5.527
Pt As Tc
2 4 2
Direct
0.250 0.750 0.500
0.000 0.000 0.000
0.384 0.875 0.250
0.866 0.375 0.250
0.625 0.616 0.750
0.125 0.134 0.750
0.750 0.250 0.500
0.500 0.500 0.000
```

Results
Formation enthalpy at 0 K in eV per formula unit: 0.668

No. 17
The following is a GGA-PBEsol calculation of a geometry-optimized BeZnPt2 structure, from Alexandria via LeMat-Bulk.

POSCAR file:
```
BeZnPt2
1.0
-0.566 2.536 -1.068
-2.851 -0.989 -0.839
-2.086 1.683 5.102
Be Pt Zn
1 2 1
Direct
0.500 0.500 0.500
0.000 0.000 0.733
0.000 0.000 0.267
0.500 0.500 0.000
```

Results
Formation enthalpy at 0 K in eV per formula unit: -2.453

No. 18
The following is a GGA-PBEsol calculation of a geometry-optimized ScGa2 structure, from Alexandria via LeMat-Bulk.

POSCAR file:
```
ScGa2
1.0
4.062 0.000 0.000
2.031 5.093 -0.006
2.031 0.931 5.007
Sc Ga
2 4
Direct
0.441 0.809 0.309
0.559 0.191 0.691
0.159 0.796 0.887
0.159 0.387 0.296
0.841 0.613 0.704
0.841 0.204 0.113
```

Results
Formation enthalpy at 0 K in eV per formula unit: -1.889

No. 19
The following is a GGA-PBEsol calculation of a geometry-optimized MgPCl structure, from Alexandria via LeMat-Bulk.

POSCAR file:
```
MgPCl
1.0
2.992 0.000 0.000
0.000 2.992 0.000
-1.496 -1.496 6.806
Mg Cl P
1 1 1
Direct
0.655 0.655 0.310
0.048 0.048 0.097
0.297 0.297 0.593
```

Results
Formation energy without anion corrections in eV per atom: -0.46

No. 20
The following is a GGA-PBEsol calculation of a geometry-optimized Sb2PbW structure, from Alexandria via LeMat-Bulk.

POSCAR file:
```
Sb2PbW
1.0
3.509 0.000 0.000
0.000 4.975 0.000
0.000 0.000 5.128
Pb Sb W
1 2 1
Direct
0.000 0.500 0.500
0.000 0.000 0.000
0.500 0.000 0.500
0.500 0.500 0.000
```

Results
Formation energy without anion corrections in eV per atom: 0.94

No. 21
The following is a GGA-PBEsol calculation of a geometry-optimized LiSnAu structure, from Alexandria via LeMat-Bulk.

POSCAR file:
```
LiSnAu
1.0
4.680 0.000 0.000
-2.340 4.053 0.000
0.000 0.000 5.982
Sn Au Li
2 2 2
Direct
0.333 0.667 0.750
0.667 0.333 0.250
0.333 0.667 0.250
0.667 0.333 0.750
0.000 0.000 0.000
0.000 0.000 0.500
```

Results
Formation enthalpy at 0 K in eV per formula unit: -1.349

No. 22
The following is a GGA-PBEsol calculation of a geometry-optimized AlOsO3 structure, from Alexandria via LeMat-Bulk.

POSCAR file:
```
AlOsO3
1.0
3.882 0.000 0.000
0.000 3.882 0.000
0.000 0.000 3.882
O Os Al
3 1 1
Direct
0.500 0.000 0.000
0.000 0.500 0.000
0.000 0.000 0.500
0.000 0.000 0.000
0.500 0.500 0.500
```

Results
Formation energy without anion corrections in eV per atom: -0.63

No. 23
The following is a GGA-PBEsol calculation of a geometry-optimized Cd2CoSb structure, from Alexandria via LeMat-Bulk.

POSCAR file:
```
Cd2CoSb
1.0
-0.760 2.669 2.531
2.216 -1.723 2.482
4.219 2.878 -1.768
Sb Cd Co
1 2 1
Direct
0.500 0.500 0.500
0.000 0.000 0.762
0.000 0.000 0.238
0.500 0.500 0.000
```

Results
Formation energy without anion corrections in eV per atom: 0.34

No. 24
The following is a GGA-PBEsol calculation of a geometry-optimized MnAlCl2 structure, from Alexandria via LeMat-Bulk.

POSCAR file:
```
MnAlCl2
1.0
3.591 0.000 0.000
0.000 3.897 0.000
-1.795 -1.949 6.318
Mn Cl Al
1 2 1
Direct
0.500 0.000 0.000
0.143 0.143 0.286
0.857 0.857 0.714
0.000 0.500 0.000
```

Results
Formation energy without anion corrections in eV per atom: -0.30

| no. | total magnetization (μB per atom) | electronic total energy (eV/cell) |
| --- | --- | --- |
| 1 | 0.000 | -317.2 |
| 2 | 0.079 | -26.8 |
| 3 | 0.546 | -27.9 |
| 4 | 0.150 | -51.1 |
| 5 | 0.000 | -48.6 |
| 6 | 0.000 | -34.2 |
| 7 | 0.000 | -31.4 |
| 8 | 1.350 | -29.0 |
| 9 | 0.343 | -36.6 |
| 10 | 0.000 | -61.6 |
| 11 | 0.000 | -58.0 |
| 12 | 0.148 | -20.2 |
| 13 | 0.000 | -13.8 |
| 14 | 0.000 | -27.1 |
| 15 | 0.330 | -31.6 |
| 16 | 0.000 | -55.6 |
| 17 | 0.000 | -22.0 |
| 18 | 0.000 | -30.3 |
| 19 | 0.000 | -10.9 |
| 20 | 0.001 | -23.2 |
| 21 | 0.000 | -23.0 |
| 22 | 0.000 | -35.2 |
| 23 | 0.270 | -13.3 |
| 24 | 0.999 | -19.1 |